## ScFeSiW (PBE-GGA)

Data for ScFeSiW after structural relaxation.

a b c (Å): 4.3295 4.3295 4.3295
angles (deg): 60.00 60.00 60.00
Fractional positions:
Fe 0.7500 0.7500 0.7500
Sc 0.5000 0.5000 0.5000
Si 0.0000 0.0000 0.0000
W 0.2500 0.2500 0.2500

## Properties
- SG = F-43m (216)
- magnetic moment (μB per atom) = 0.291
- V (A^3/atom) = 14.3
- calculated total energy (eV/atom) = -8.112